Version i
{"formula": "Sn3HPd", "functional": "PBE", "state": "optimized geometry", "cell": [[5.191, 0.000, 0.000], [0.000, 5.191, 0.000], [0.000, 0.000, 5.191]], "species": ["Sn", "Sn", "Sn", "H", "Pd"], "fractional_positions": [[0.000, 0.000, 0.500], [0.000, 0.500, 0.000], [0.500, 0.000, 0.000], [0.500, 0.500, 0.500], [0.000, 0.000, 0.000]], "magnetic_moment_mub_per_cell": 0.000, "n_ef_per_ev_cell": 3.2}

---

Version ii
{"formula": "Sn3HPd", "functional": "PBE", "state": "optimized geometry", "cell": [[4.608, 0.000, 0.000], [0.000, 4.608, 0.000], [0.000, 0.000, 4.608]], "species": ["Sn", "Sn", "Sn", "H", "Pd"], "fractional_positions": [[0.000, 0.000, 0.500], [0.000, 0.500, 0.000], [0.500, 0.000, 0.000], [0.000, 0.000, 0.000], [0.500, 0.500, 0.500]], "magnetic_moment_mub_per_cell": 0.000, "n_ef_per_ev_cell": 2.7}

---

Decreasing stability: version ii, version i